# Li4ZnIn2Ir

Li4ZnIn2Ir after structural relaxation (PBE, the Open Quantum Materials Database).

Unit cell a=4.4832 b=4.4832 c=6.3876 alpha=90.00 beta=90.00 gamma=90.00
Last column: nearest neighbours and their distance in Å.
Positions (direct):
Li (0.0000, 0.0000, 0.0000)  4 In 2.71, 4 Li 2.74
Li (0.0000, 0.5000, 0.2457)  2 Ir 2.74, 4 Li 2.74-2.77, 2 Zn 2.77
Li (0.5000, 0.0000, 0.7543)  4 Li 2.74-2.77, 2 Ir 2.74, 2 Zn 2.77
Li (0.5000, 0.5000, 0.5000)  4 Li 2.77, 4 In 2.79
Zn (0.0000, 0.0000, 0.5000)  4 Li 2.77, 4 In 2.79
In (0.0000, 0.5000, 0.7604)  2 Ir 2.71, 4 Li 2.71-2.79, 2 Zn 2.79
In (0.5000, 0.0000, 0.2396)  2 Ir 2.71, 4 Li 2.71-2.79, 2 Zn 2.79
Ir (0.5000, 0.5000, 0.0000)  4 In 2.71, 4 Li 2.74

Output
Space group: P-4m2 (115)
Total magnetization, μB per formula unit: 0.00
Electronic total energy, eV per atom: -3.167
Crystal system: tetragonal

---

# Li4ZnInIr2

Li4ZnInIr2 after structural relaxation (PBE, the Open Quantum Materials Database).

Unit cell a=4.3170 b=4.3170 c=6.1755 alpha=90.00 beta=90.00 gamma=90.00
Last column: nearest neighbours and their distance in Å.
Positions (direct):
Li (0.0000, 0.0000, 0.0000)  4 Ir 2.71, 4 Li 2.73
Li (0.0000, 0.5000, 0.7296)  4 Li 2.58-2.73, 2 Zn 2.58, 2 In 2.73, 1 Ir 2.86
Li (0.5000, 0.0000, 0.2704)  4 Li 2.58-2.73, 2 Zn 2.58, 2 In 2.73, 1 Ir 2.86
Li (0.5000, 0.5000, 0.5000)  4 Li 2.58, 4 Ir 2.60
Zn (0.0000, 0.0000, 0.5000)  4 Li 2.58, 4 Ir 2.60
In (0.5000, 0.5000, 0.0000)  4 Ir 2.71, 4 Li 2.73
Ir (0.0000, 0.5000, 0.2659)  5 Li 2.60-2.86, 2 Zn 2.60, 2 In 2.71
Ir (0.5000, 0.0000, 0.7341)  5 Li 2.60-2.86, 2 Zn 2.60, 2 In 2.71

Output
Space group: P-4m2 (115)
Total magnetization, μB per formula unit: 0.01
Electronic total energy, eV per atom: -3.912
Crystal system: tetragonal

---

# Lu2InIr

Lu2InIr after structural relaxation (PBE, the Open Quantum Materials Database).

Unit cell a=4.8679 b=4.8679 c=4.8679 alpha=60.00 beta=60.00 gamma=60.00
Last column: nearest neighbours and their distance in Å.
Positions (direct):
Lu (0.0000, 0.0000, 0.0000)  4 Ir 2.98, 4 Lu 2.98
Lu (0.2500, 0.2500, 0.2500)  4 In 2.98, 4 Lu 2.98
In (0.5000, 0.5000, 0.5000)  4 Ir 2.98, 4 Lu 2.98
Ir (0.7500, 0.7500, 0.7500)  4 In 2.98, 4 Lu 2.98

Output
Space group: F-43m (216)
Total magnetization, μB per formula unit: 0.00
Electronic total energy, eV per atom: -5.607
Crystal system: cubic

---

# LuInIr2

LuInIr2 after structural relaxation (PBE, the Open Quantum Materials Database).

Unit cell a=4.6940 b=4.6940 c=4.6940 alpha=60.00 beta=60.00 gamma=60.00
Last column: nearest neighbours and their distance in Å.
Positions (direct):
Lu (0.0000, 0.0000, 0.0000)  4 In 2.87, 4 Ir 2.87
In (0.7500, 0.7500, 0.7500)  4 Ir 2.87, 4 Lu 2.87
Ir (0.2500, 0.2500, 0.2500)  4 Ir 2.87, 4 Lu 2.87
Ir (0.5000, 0.5000, 0.5000)  4 In 2.87, 4 Ir 2.87

Output
Space group: F-43m (216)
Total magnetization, μB per formula unit: 0.01
Electronic total energy, eV per atom: -6.353
Crystal system: cubic

---

# LuInNiIr

LuInNiIr after structural relaxation (PBE, the Open Quantum Materials Database).

Unit cell a=4.6371 b=4.6371 c=4.6371 alpha=60.00 beta=60.00 gamma=60.00
Last column: nearest neighbours and their distance in Å.
Positions (direct):
Lu (0.0000, 0.0000, 0.0000)  4 In 2.84, 4 Ir 2.84
In (0.2500, 0.2500, 0.2500)  4 Ni 2.84, 4 Lu 2.84
Ni (0.5000, 0.5000, 0.5000)  4 Ir 2.84, 4 In 2.84
Ir (0.7500, 0.7500, 0.7500)  4 Ni 2.84, 4 Lu 2.84

Output
Space group: F-43m (216)
Total magnetization, μB per formula unit: 0.01
Electronic total energy, eV per atom: -5.551
Crystal system: cubic

---

# Lu3In3IrPt

Lu3In3IrPt after structural relaxation (PBE, the Open Quantum Materials Database).

Unit cell a=7.6144 b=7.6144 c=3.5453 alpha=90.00 beta=90.00 gamma=120.00
Last column: nearest neighbours and their distance in Å.
Positions (direct):
Lu (0.0909, 0.3406, 0.0000)  2 Ir 2.85, 2 Pt 2.92, 2 In 3.17
Lu (0.2497, 0.9091, 0.0000)  2 Ir 2.85, 2 Pt 2.92, 2 In 3.17
Lu (0.6594, 0.7503, 0.0000)  2 Ir 2.85, 2 Pt 2.92, 2 In 3.17
In (0.4335, 0.3356, 0.5000)  1 Ir 2.98, 1 Pt 3.00, 2 In 3.09, 6 Lu 3.17-3.33
In (0.6644, 0.0979, 0.5000)  1 Ir 2.98, 1 Pt 3.00, 2 In 3.09, 6 Lu 3.17-3.33
In (0.9021, 0.5665, 0.5000)  1 Ir 2.98, 1 Pt 3.00, 2 In 3.09, 6 Lu 3.17-3.33
Ir (0.3333, 0.6667, 0.5000)  6 Lu 2.85, 3 In 2.98
Pt (0.0000, 0.0000, 0.5000)  6 Lu 2.92, 3 In 3.00

Output
Space group: P-6 (174)
Total magnetization, μB per formula unit: 0.01
Electronic total energy, eV per atom: -5.371
Crystal system: hexagonal

---

# TmLu2In3Ir2

TmLu2In3Ir2 after structural relaxation (PBE, the Open Quantum Materials Database).

Unit cell a=3.5713 b=7.5750 c=7.5750 alpha=120.07 beta=90.00 gamma=90.00
Last column: nearest neighbours and their distance in Å.
Positions (direct):
Tm (0.0000, 0.0000, 0.0000)  4 Ir 2.89, 2 In 3.15
Lu (0.0000, 0.4222, 0.8449)  4 Ir 2.88, 2 In 3.15
Lu (0.0000, 0.8449, 0.4222)  4 Ir 2.88, 2 In 3.15
In (0.5000, 0.1871, 0.4227)  2 Ir 2.95-2.97, 2 In 3.08-3.09, 4 Lu 3.15-3.30, 2 Tm 3.30
In (0.5000, 0.4227, 0.1871)  2 Ir 2.95-2.97, 2 In 3.08-3.09, 4 Lu 3.15-3.30, 2 Tm 3.30
In (0.5000, 0.6567, 0.6567)  2 Ir 2.98, 2 In 3.08, 2 Tm 3.15, 4 Lu 3.30
Ir (0.5000, 0.0892, 0.7541)  4 Lu 2.88, 2 Tm 2.89, 3 In 2.95-2.98
Ir (0.5000, 0.7541, 0.0892)  4 Lu 2.88, 2 Tm 2.89, 3 In 2.95-2.98

Output
Space group: Amm2 (38)
Total magnetization, μB per formula unit: 0.01
Electronic total energy, eV per atom: -5.595
Crystal system: orthorhombic

---

# Tm2LuIn3Ir2

Tm2LuIn3Ir2 after structural relaxation (PBE, the Open Quantum Materials Database).

Unit cell a=3.5879 b=7.5697 c=7.5697 alpha=119.89 beta=90.00 gamma=90.00
Last column: nearest neighbours and their distance in Å.
Positions (direct):
Tm (0.0000, 0.2111, 0.7889)  4 Ir 2.89-2.90, 2 In 3.15
Tm (0.0000, 0.7889, 0.2111)  4 Ir 2.89-2.90, 2 In 3.15
Lu (0.0000, 0.6340, 0.6340)  4 Ir 2.88, 2 In 3.15
In (0.5000, 0.2117, 0.4465)  2 Ir 2.96-2.98, 2 In 3.08-3.09, 4 Tm 3.15-3.31, 2 Lu 3.31
In (0.5000, 0.4465, 0.2117)  2 Ir 2.96-2.98, 2 In 3.08-3.09, 4 Tm 3.15-3.31, 2 Lu 3.31
In (0.5000, 0.9753, 0.9753)  2 Ir 2.96, 2 In 3.09, 2 Lu 3.15, 4 Tm 3.30
Ir (0.5000, 0.5448, 0.8765)  2 Lu 2.88, 4 Tm 2.89-2.90, 3 In 2.96-2.98
Ir (0.5000, 0.8765, 0.5448)  2 Lu 2.88, 4 Tm 2.89-2.90, 3 In 2.96-2.98

Output
Space group: Amm2 (38)
Total magnetization, μB per formula unit: 0.01
Electronic total energy, eV per atom: -5.588
Crystal system: orthorhombic